(1)
Below is crystalline LiTb2MgAu4 at its relaxed geometry, with properties calculated at the PBE-GGA level.

It has space group R-3m (No. 166, hexagonal axes), with a = 4.9042 Å, b = 4.9042 Å, c = 23.9452 Å, α = 90.00°, β = 90.00° and γ = 120.00°. Symmetry generates all atoms from Li at (0.0000, 0.0000, 0.0000), Tb at (0.0000, 0.0000, 0.2511), Mg at (0.0000, 0.0000, 0.5000), Au at (0.0000, 0.0000, 0.1254) and Au at (0.0000, 0.0000, 0.3756).

As for the total energy: -3.975 eV/atom.



(2)
Below is crystalline LiTbMg2Au4 at its relaxed geometry, with properties calculated at the PBE-GGA level.

It has space group R-3m (No. 166, hexagonal axes), with a = 4.6739 Å, b = 4.6739 Å, c = 24.4496 Å, α = 90.00°, β = 90.00° and γ = 120.00°. Symmetry generates all atoms from Li at (0.0000, 0.0000, 0.0000), Tb at (0.0000, 0.0000, 0.5000), Mg at (0.0000, 0.0000, 0.2583), Au at (0.0000, 0.0000, 0.1091) and Au at (0.0000, 0.0000, 0.3741).

As for the total energy: -3.518 eV/atom.



(3)
Below is crystalline Li2ThMgAu2 at its relaxed geometry, with properties calculated at the PBE-GGA level.

It has space group P-3m1 (No. 164), with a = 4.5050 Å, b = 4.5050 Å, c = 6.8554 Å, α = 90.00°, β = 90.00° and γ = 120.00°. Symmetry generates all atoms from Li at (0.3333, 0.6667, 0.1604), Th at (0.0000, 0.0000, 0.5000), Mg at (0.0000, 0.0000, 0.0000) and Au at (0.3333, 0.6667, 0.7599).

As for the total energy: -3.701 eV/atom.



(4)
Below is crystalline Li2ThMgAu4 at its relaxed geometry, with properties calculated at the PBE-GGA level.

It has space group R-3m (No. 166, hexagonal axes), with a = 4.5906 Å, b = 4.5906 Å, c = 25.6625 Å, α = 90.00°, β = 90.00° and γ = 120.00°. Symmetry generates all atoms from Li at (0.0000, 0.0000, 0.2360), Th at (0.0000, 0.0000, 0.0000), Mg at (0.0000, 0.0000, 0.5000), Au at (0.0000, 0.0000, 0.1239) and Au at (0.0000, 0.0000, 0.3943).

As for the total energy: -3.841 eV/atom.



(5)
Below is crystalline LiThMgAu at its relaxed geometry, with properties calculated at the PBE-GGA level.

It has space group F-43m (No. 216), with a = 7.0618 Å, b = 7.0618 Å, c = 7.0618 Å, α = 90.00°, β = 90.00° and γ = 90.00°. Symmetry generates all atoms from Li at (0.0000, 0.0000, 0.0000), Th at (0.2500, 0.2500, 0.7500), Mg at (0.2500, 0.2500, 0.2500) and Au at (0.0000, 0.0000, 0.5000).

As for the total energy: -3.904 eV/atom.



(6)
Below is crystalline Li3Mg3TlAu2 at its relaxed geometry, with properties calculated at the PBE-GGA level.

It has space group P-62m (No. 189), with a = 7.7190 Å, b = 7.7190 Å, c = 3.2942 Å, α = 90.00°, β = 90.00° and γ = 120.00°. Symmetry generates all atoms from Li at (0.0000, 0.7074, 0.0000), Mg at (0.0000, 0.3914, 0.5000), Tl at (0.0000, 0.0000, 0.5000) and Au at (0.3333, 0.6667, 0.0000).

As for the total energy: -2.533 eV/atom.



(7)
Below is crystalline Li2TmMgAu4 at its relaxed geometry, with properties calculated at the PBE-GGA level.

It has space group R-3m (No. 166, hexagonal axes), with a = 4.6743 Å, b = 4.6743 Å, c = 23.2553 Å, α = 90.00°, β = 90.00° and γ = 120.00°. Symmetry generates all atoms from Li at (0.0000, 0.0000, 0.2467), Tm at (0.0000, 0.0000, 0.0000), Mg at (0.0000, 0.0000, 0.5000), Au at (0.0000, 0.0000, 0.1267) and Au at (0.0000, 0.0000, 0.3819).

As for the total energy: -3.529 eV/atom.



(8)
Below is crystalline Li2YMgAu2 at its relaxed geometry, with properties calculated at the PBE-GGA level.

It has space group P-3m1 (No. 164), with a = 4.5148 Å, b = 4.5148 Å, c = 6.5519 Å, α = 90.00°, β = 90.00° and γ = 120.00°. Symmetry generates all atoms from Li at (0.3333, 0.6667, 0.1841), Y at (0.0000, 0.0000, 0.5000), Mg at (0.0000, 0.0000, 0.0000) and Au at (0.3333, 0.6667, 0.7646).

As for the total energy: -3.628 eV/atom.



(9)
Below is crystalline Li2YMgAu4 at its relaxed geometry, with properties calculated at the PBE-GGA level.

It has space group R-3m (No. 166, hexagonal axes), with a = 4.6273 Å, b = 4.6273 Å, c = 24.2259 Å, α = 90.00°, β = 90.00° and γ = 120.00°. Symmetry generates all atoms from Li at (0.0000, 0.0000, 0.2438), Y at (0.0000, 0.0000, 0.0000), Mg at (0.0000, 0.0000, 0.5000), Au at (0.0000, 0.0000, 0.1264) and Au at (0.0000, 0.0000, 0.3883).

As for the total energy: -3.766 eV/atom.



(10)
Below is crystalline LiMgZn2Au4 at its relaxed geometry, with properties calculated at the PBE-GGA level.

It has space group R-3m (No. 166, hexagonal axes), with a = 4.5373 Å, b = 4.5373 Å, c = 21.9831 Å, α = 90.00°, β = 90.00° and γ = 120.00°. Symmetry generates all atoms from Li at (0.0000, 0.0000, 0.0000), Mg at (0.0000, 0.0000, 0.5000), Zn at (0.0000, 0.0000, 0.2512), Au at (0.0000, 0.0000, 0.1229) and Au at (0.0000, 0.0000, 0.3733).

As for the total energy: -2.815 eV/atom.



(11)
Below is crystalline Li2MgZn2Au2 at its relaxed geometry, with properties calculated at the PBE-GGA level.

It has space group C2/m (No. 12), with a = 8.9926 Å, b = 4.0833 Å, c = 6.0637 Å, α = 90.00°, β = 94.24° and γ = 90.00°. Symmetry generates all atoms from Li at (0.0904, 0.0000, 0.2090), Mg at (0.0000, 0.5000, 0.5000), Zn at (0.1354, 0.5000, 0.9374) and Au at (0.2014, 0.0000, 0.6643).

As for the total energy: -2.488 eV/atom.



(12)
Below is crystalline LiMg2Zn2Au2 at its relaxed geometry, with properties calculated at the PBE-GGA level.

It has space group R-3m (No. 166, hexagonal axes), with a = 4.5239 Å, b = 4.5239 Å, c = 21.2366 Å, α = 90.00°, β = 90.00° and γ = 120.00°. Symmetry generates all atoms from Li at (0.0000, 0.0000, 0.0000), Mg at (0.0000, 0.0000, 0.1283), Zn at (0.0000, 0.0000, 0.3879) and Au at (0.0000, 0.0000, 0.2581).

As for the total energy: -2.440 eV/atom.